# 1
Rb3Tb3BiS8 | Alexandria | PBE-GGA | optimized geometry; VASP energy = -76.321 eV/cell; space group = R-3m, No. 166; formation energy from raw total energies = -1.51 eV/atom; V = 447.1 Å³ per cell
1.0
4.0587 2.3433 7.8359
-4.0587 2.3433 7.8359
0.0000 -4.6866 7.8359
Rb Tb Bi S
3 3 1 8
Cartesian
-2.0294 -1.1717 7.8359
-2.0294 1.1717 15.6718
0.0000 2.3433 7.8359
-4.0587 0.0000 11.7538
-2.0294 1.1717 3.9179
2.0294 1.1717 3.9179
0.0000 0.0000 11.7538
0.0000 0.0000 5.4071
-2.0222 -1.1675 13.2492
0.0000 -2.3351 10.2585
-2.0222 1.1675 10.2585
2.0222 -1.1675 13.2492
0.0000 2.3351 13.2492
2.0222 1.1675 10.2585
0.0000 0.0000 18.1006

=====

# 2
Pm5Dy2Y4 | Alexandria | PBE-GGA | optimized geometry; VASP energy = -56.398 eV/cell; space group = Immm, No. 71; energy relative to the elements = 0.22 eV per atom; energy relative to the lowest polymorph listed for this composition = 104 meV per atom; V = 382.1 Å³ per cell
1.0
-1.7699 4.5796 11.7863
1.7699 -4.5796 11.7863
1.7699 4.5796 -11.7863
Pm Dy Y
5 2 4
Cartesian
0.0000 0.0000 0.0000
1.7699 1.8338 -3.4632
1.7699 1.8338 3.4632
0.0000 2.7458 8.3232
0.0000 2.7458 15.2495
1.7699 0.0000 6.3356
0.0000 4.5796 5.4507
1.7699 2.8487 0.0000
1.7699 0.0000 9.4812
0.0000 4.5796 2.3051
0.0000 1.7309 11.7863

=====

# 3
BaZrAl2 | Alexandria | PBE-GGA | optimized geometry; VASP energy = -63.907 eV/cell; space group = F-43m, No. 216; energy relative to the elements = 0.49 eV per atom; energy relative to the lowest polymorph listed for this composition = 670 meV per atom; V = 397.1 Å³ per cell
1.0
7.3500 0.0000 0.0000
0.0000 7.3500 0.0000
0.0000 0.0000 7.3500
Ba Zr Al
4 4 8
Cartesian
0.0000 0.0000 0.0000
0.0000 3.6750 3.6750
3.6750 0.0000 3.6750
3.6750 3.6750 0.0000
1.8375 1.8375 1.8375
1.8375 5.5125 5.5125
5.5125 1.8375 5.5125
5.5125 5.5125 1.8375
0.0000 0.0000 3.6750
0.0000 3.6750 0.0000
1.8375 1.8375 5.5125
1.8375 5.5125 1.8375
3.6750 0.0000 0.0000
3.6750 3.6750 3.6750
5.5125 1.8375 1.8375
5.5125 5.5125 5.5125

=====

# 4
Sc4ZnPd2 | Alexandria | PBE-GGA | optimized geometry; VASP energy = -40.932 eV/cell; space group = R-3m, No. 166; energy relative to the elements = -0.56 eV per atom; V = 141.2 Å³ per cell
1.0
2.3325 1.3467 7.4913
-2.3325 1.3467 7.4913
0.0000 -2.6933 7.4913
Sc Zn Pd
4 1 2
Cartesian
0.0000 0.0000 2.6922
0.0000 0.0000 8.3504
0.0000 0.0000 14.1234
0.0000 0.0000 19.7816
0.0000 0.0000 11.2369
0.0000 0.0000 5.5622
0.0000 0.0000 16.9116

=====

# 5
CoMo2 | Alexandria | PBE-GGA | optimized geometry; VASP energy = -26.463 eV/cell; space group = P4/mmm, No. 123; energy relative to the elements = 0.77 eV per atom; V = 47.9 Å³ per cell
1.0
4.2967 0.0000 0.0000
0.0000 4.2967 0.0000
0.0000 0.0000 2.5965
Co Mo
1 2
Cartesian
0.0000 0.0000 0.0000
0.0000 2.1484 1.2983
2.1484 0.0000 1.2983

=====

# 6
Tb2ThZn | Alexandria | PBE-GGA | optimized geometry; VASP energy = -17.920 eV/cell; space group = P4/mmm, No. 123; energy relative to the elements = 0.01 eV per atom; energy relative to the lowest polymorph listed for this composition = 171 meV per atom; V = 109.8 Å³ per cell
1.0
4.7622 0.0000 0.0000
0.0000 4.7622 0.0000
0.0000 0.0000 4.8394
Tb Th Zn
2 1 1
Cartesian
0.0000 2.3811 0.0000
2.3811 0.0000 0.0000
0.0000 0.0000 2.4197
2.3811 2.3811 2.4197